No. 1
! K2PrInI6, optimized geometry, DFT GGA-PBE; values from VASP
&SYSTEM
  ibrav = 0, nat = 10, ntyp = 4
/
ATOMIC_SPECIES
K 39.10 K.upf
Pr 140.91 Pr.upf
In 114.82 In.upf
I 126.90 I.upf
ATOMIC_POSITIONS crystal
K 0.0000 0.0000 0.0000
K 0.4907 0.4907 0.4907
Pr 0.6931 0.6931 0.6931
In 0.2005 0.2005 0.2005
I 0.0467 0.4453 0.8128
I 0.3319 0.9055 0.5845
I 0.4453 0.8128 0.0467
I 0.5845 0.3319 0.9055
I 0.8128 0.0467 0.4454
I 0.9055 0.5845 0.3319
CELL_PARAMETERS angstrom
4.3584 2.5163 7.6004
-4.3584 2.5163 7.6004
0.0000 -5.0327 7.6004
! Raw formation energy ... -1.251 eV per atom
! Total energy ... -3.15 eV/atom
! Size of the total moment ... 0.0 μB per formula unit
! Space-group type ... R3
! Density ... 3.637 Mg/m³
! V ... 500 Å³/cell

=====

No. 2
! KPuIn2I6, optimized geometry, DFT GGA-PBE; values from VASP
&SYSTEM
  ibrav = 0, nat = 10, ntyp = 4
/
ATOMIC_SPECIES
K 39.10 K.upf
Pu 244.00 Pu.upf
In 114.82 In.upf
I 126.90 I.upf
ATOMIC_POSITIONS crystal
K 0.0000 0.0000 0.0000
Pu 0.5108 0.5108 0.5108
In 0.1950 0.1950 0.1950
In 0.7063 0.7063 0.7063
I 0.1557 0.3972 0.7546
I 0.3186 0.8837 0.5911
I 0.3972 0.7546 0.1557
I 0.5911 0.3186 0.8837
I 0.7546 0.1557 0.3972
I 0.8837 0.5911 0.3186
CELL_PARAMETERS angstrom
4.3041 2.4849 7.5751
-4.3041 2.4849 7.5751
0.0000 -4.9699 7.5751
! Raw formation energy ... -0.902 eV per atom
! Total energy ... -3.92 eV/atom
! Size of the total moment ... 5.0 μB per formula unit
! Space-group type ... R3
! Density ... 4.353 Mg/m³
! V ... 486 Å³/cell

=====

No. 3
! K2RbInI4, optimized geometry, DFT GGA-PBE; values from VASP
&SYSTEM
  ibrav = 0, nat = 8, ntyp = 4
/
ATOMIC_SPECIES
K 39.10 K.upf
Rb 85.47 Rb.upf
In 114.82 In.upf
I 126.90 I.upf
ATOMIC_POSITIONS crystal
K 0.0000 0.0000 0.0000
K 0.5000 0.5000 0.0000
Rb 0.0000 0.5000 0.5000
In 0.5000 0.0000 0.5000
I 0.2561 0.5000 0.2484
I 0.2590 0.0000 0.7559
I 0.7410 0.0000 0.2441
I 0.7439 0.5000 0.7516
CELL_PARAMETERS angstrom
8.8297 0.0000 0.0000
0.0000 5.1004 0.0000
-2.9418 0.0000 8.3464
! Raw formation energy ... -1.224 eV per atom
! Total energy ... -2.74 eV/atom
! Size of the total moment ... 0.0 μB per formula unit
! Space-group type ... P2/m
! Density ... 3.473 Mg/m³
! V ... 376 Å³/cell

=====

No. 4
! KRb2InI4, optimized geometry, DFT GGA-PBE; values from VASP
&SYSTEM
  ibrav = 0, nat = 8, ntyp = 4
/
ATOMIC_SPECIES
K 39.10 K.upf
Rb 85.47 Rb.upf
In 114.82 In.upf
I 126.90 I.upf
ATOMIC_POSITIONS crystal
K 0.0000 0.0000 0.0000
Rb 0.0000 0.5000 0.5000
Rb 0.5000 0.0000 0.5000
In 0.5000 0.5000 0.0000
I 0.2476 0.5000 0.2377
I 0.2559 0.0000 0.7639
I 0.7441 0.0000 0.2361
I 0.7524 0.5000 0.7623
CELL_PARAMETERS angstrom
8.9290 0.0000 0.0000
0.0000 5.1576 0.0000
-2.9739 0.0000 8.4225
! Raw formation energy ... -1.229 eV per atom
! Total energy ... -2.73 eV/atom
! Size of the total moment ... 0.0 μB per formula unit
! Space-group type ... P2/m
! Density ... 3.564 Mg/m³
! V ... 388 Å³/cell

=====

No. 5
! KRbInI6, optimized geometry, DFT GGA-PBE; values from VASP
&SYSTEM
  ibrav = 0, nat = 9, ntyp = 4
/
ATOMIC_SPECIES
K 39.10 K.upf
Rb 85.47 Rb.upf
In 114.82 In.upf
I 126.90 I.upf
ATOMIC_POSITIONS crystal
K 0.0000 0.0000 0.0000
Rb 0.1878 0.4891 0.5793
In 0.7039 0.9976 0.5694
I 0.0644 0.8531 0.3686
I 0.1698 0.3817 0.0060
I 0.4581 0.7714 0.7573
I 0.5613 0.1489 0.3536
I 0.7523 0.2237 0.7737
I 0.8175 0.6242 0.0008
CELL_PARAMETERS angstrom
7.6795 0.0000 0.0000
0.6294 8.3013 0.0000
3.6190 -0.0890 7.9002
! Raw formation energy ... -0.827 eV per atom
! Total energy ... -2.39 eV/atom
! Size of the total moment ... 1.0 μB per formula unit
! Space-group type ... P1
! Density ... 3.300 Mg/m³
! V ... 504 Å³/cell

=====

No. 6
! KRbIn2I6, optimized geometry, DFT GGA-PBE; values from VASP
&SYSTEM
  ibrav = 0, nat = 10, ntyp = 4
/
ATOMIC_SPECIES
K 39.10 K.upf
Rb 85.47 Rb.upf
In 114.82 In.upf
I 126.90 I.upf
ATOMIC_POSITIONS crystal
K 0.0000 0.0000 0.0000
Rb 0.4976 0.4976 0.4976
In 0.2159 0.2159 0.2159
In 0.7181 0.7181 0.7181
I 0.0620 0.4364 0.8955
I 0.3575 0.9822 0.5395
I 0.4364 0.8955 0.0620
I 0.5395 0.3575 0.9822
I 0.8955 0.0620 0.4364
I 0.9822 0.5395 0.3575
CELL_PARAMETERS angstrom
4.3431 2.5075 7.1205
-4.3431 2.5075 7.1205
0.0000 -5.0149 7.1205
! Raw formation energy ... -0.871 eV per atom
! Total energy ... -2.56 eV/atom
! Size of the total moment ... 0.0 μB per formula unit
! Space-group type ... R3
! Density ... 3.982 Mg/m³
! V ... 465 Å³/cell

=====

No. 7
! K3RbIn2I6, optimized geometry, DFT GGA-PBE; values from VASP
&SYSTEM
  ibrav = 0, nat = 12, ntyp = 4
/
ATOMIC_SPECIES
K 39.10 K.upf
Rb 85.47 Rb.upf
In 114.82 In.upf
I 126.90 I.upf
ATOMIC_POSITIONS crystal
K 0.0000 0.0000 0.0000
K 0.3335 0.3335 0.6691
K 0.6665 0.6665 0.3309
Rb 0.0000 0.0000 0.5000
In 0.3318 0.3318 0.1654
In 0.6682 0.6682 0.8346
I 0.1680 0.1680 0.0805
I 0.1699 0.1699 0.5864
I 0.4993 0.4993 0.2407
I 0.5007 0.5007 0.7593
I 0.8301 0.8301 0.4136
I 0.8320 0.8320 0.9195
CELL_PARAMETERS angstrom
11.0817 -2.5347 0.0000
11.0817 2.5347 0.0000
-2.3907 0.0000 9.8929
! Raw formation energy ... -1.136 eV per atom
! Total energy ... -2.72 eV/atom
! Size of the total moment ... 0.0 μB per formula unit
! Space-group type ... C2/m
! Density ... 3.567 Mg/m³
! V ... 556 Å³/cell

=====

No. 8
! KRb2InI5, optimized geometry, DFT GGA-PBE; values from VASP
&SYSTEM
  ibrav = 0, nat = 18, ntyp = 4
/
ATOMIC_SPECIES
K 39.10 K.upf
Rb 85.47 Rb.upf
In 114.82 In.upf
I 126.90 I.upf
ATOMIC_POSITIONS crystal
K 0.2118 0.7882 0.5000
K 0.7882 0.2118 0.0000
Rb 0.1182 0.8818 0.1620
Rb 0.1400 0.8600 0.7984
Rb 0.8600 0.1400 0.2984
Rb 0.8818 0.1182 0.6620
In 0.4627 0.5373 0.9204
In 0.5373 0.4627 0.4204
I 0.0383 0.9617 0.4930
I 0.2909 0.7091 0.1527
I 0.3274 0.6726 0.8461
I 0.3756 0.6244 0.4801
I 0.4899 0.5101 0.2369
I 0.5101 0.4899 0.7369
I 0.6244 0.3756 0.9801
I 0.6726 0.3274 0.3461
I 0.7091 0.2909 0.6527
I 0.9617 0.0383 0.9930
CELL_PARAMETERS angstrom
2.7371 -10.6454 0.0000
2.7371 10.6454 0.0000
0.0000 0.0000 14.8201
! Raw formation energy ... -1.127 eV per atom
! Total energy ... -2.63 eV/atom
! Size of the total moment ... 0.0 μB per formula unit
! Space-group type ... Cmc2_1
! Density ... 3.689 Mg/m³
! V ... 864 Å³/cell